# 1
This record from the Alexandria database describes a relaxed structure of La8P3Cl4O. The functional is PBE.

Lattice parameters (Å, degrees): 8.2355 8.4673 8.2357 119.11 120.00 90.00
With the nearest neighbours (Å) after each atom.
Fractional coordinates of all 16 atoms:
La (0.2244, 0.7102, 0.9859)  1 O 2.65, 2 P 2.88
La (0.2245, 0.7103, 0.4490)  1 O 2.65, 2 P 2.88
La (0.2581, 0.2742, 0.5161)  3 P 2.86, 3 Cl 3.06
La (0.7615, 0.7102, 0.9859)  1 O 2.65, 2 P 2.88
La (0.2385, 0.2898, 0.0141)  1 O 2.65, 2 P 2.88
La (0.7419, 0.7258, 0.4839)  3 P 2.86, 3 Cl 3.06
La (0.7755, 0.2897, 0.5510)  1 O 2.65, 2 P 2.88
La (0.7756, 0.2898, 0.0141)  1 O 2.65, 2 P 2.88
P (0.5000, 0.5000, 0.0000)  6 La 2.86-2.88
P (0.5000, 0.5000, 0.5000)  6 La 2.86-2.88
P (0.0000, 0.5000, 0.5000)  6 La 2.86-2.88
Cl (0.5000, 0.0000, 0.0000)  6 La 3.26
Cl (0.5000, 0.0000, 0.5000)  6 La 3.06
Cl (0.0000, 0.0000, 0.0000)  6 La 3.06
Cl (0.0000, 0.0000, 0.5000)  6 La 3.06
O (0.0000, 0.5000, 0.0000)  6 La 2.65

formation energy from raw total energies	-28.95	eV/f.u.
Fermi-level density of states	8.0	states/eV per cell



# 2
This record from the Alexandria database describes a relaxed structure of SrAl2Cr. The functional is PBE.

Lattice parameters (Å, degrees): 7.4646 7.4646 7.4646 154.44 147.91 41.47
With the nearest neighbours (Å) after each atom.
Fractional coordinates of all 4 atoms:
Sr (0.6973, 0.1973, 0.5000)  2 Sr 3.30, 4 Al 3.32, 2 Cr 3.36
Al (0.9731, 0.9731, 0.0000)  4 Cr 2.65, 2 Al 2.76
Al (0.3418, 0.8418, 0.5000)  2 Cr 2.62, 2 Al 2.76
Cr (0.4878, 0.4878, 0.0000)  6 Al 2.62-2.65

formation energy from the elements	0.97	eV per formula unit
Fermi-level density of states	2.8	states/eV per cell



# 3
This record from the Alexandria database describes a relaxed structure of KRb2InAu2. The functional is PBE.

Lattice parameters (Å, degrees): 5.2919 8.6911 9.2458 90.00 90.00 90.00
With the nearest neighbours (Å) after each atom.
Fractional coordinates of all 12 atoms:
K (0.0000, 0.0107, 0.4536)  6 Au 3.35-3.75, 2 In 3.57
K (0.0000, 0.5107, 0.5464)  6 Au 3.35-3.75, 2 In 3.57
Rb (0.5000, 0.0085, 0.1187)  1 In 3.68, 3 Au 3.72-3.80, 4 Rb 3.94-3.98, 2 K 4.07
Rb (0.0000, 0.3476, 0.1592)  4 Au 3.31-3.59
Rb (0.5000, 0.5085, 0.8813)  1 In 3.68, 3 Au 3.72-3.80, 4 Rb 3.94-3.98, 2 K 4.07
Rb (0.0000, 0.8476, 0.8408)  4 Au 3.31-3.59
In (0.5000, 0.1417, 0.6820)  4 Au 2.89-2.99
In (0.5000, 0.6417, 0.3180)  4 Au 2.89-2.99
Au (0.0000, 0.2244, 0.7890)  2 In 2.91
Au (0.5000, 0.3127, 0.4133)  2 In 2.89-2.99
Au (0.0000, 0.7244, 0.2110)  2 In 2.91
Au (0.5000, 0.8127, 0.5867)  2 In 2.89-2.99

formation energy from the elements	-1.35	eV per formula unit
Fermi-level density of states	5.1	states/eV per cell



# 4
This record from the Alexandria database describes a relaxed structure of Ba3Tl2Pb3. The functional is PBE.

Lattice parameters (Å, degrees): 7.1002 9.6873 17.8222 90.00 90.00 90.00
With the nearest neighbours (Å) after each atom.
Fractional coordinates of all 32 atoms:
Ba (0.1383, 0.4606, 0.3895)  6 Pb 3.64-3.95, 2 Tl 3.66-3.86
Ba (0.6383, 0.0394, 0.6105)  6 Pb 3.64-3.95, 2 Tl 3.66-3.86
Ba (0.8617, 0.5394, 0.8895)  6 Pb 3.64-3.95, 2 Tl 3.66-3.86
Ba (0.3617, 0.9606, 0.1105)  6 Pb 3.64-3.95, 2 Tl 3.66-3.86
Ba (0.8617, 0.5394, 0.6105)  6 Pb 3.64-3.95, 2 Tl 3.66-3.86
Ba (0.3617, 0.9606, 0.3895)  6 Pb 3.64-3.95, 2 Tl 3.66-3.86
Ba (0.1383, 0.4606, 0.1105)  6 Pb 3.64-3.95, 2 Tl 3.66-3.86
Ba (0.6383, 0.0394, 0.8895)  6 Pb 3.64-3.95, 2 Tl 3.66-3.86
Ba (0.6098, 0.3130, 0.2500)  4 Tl 3.58-3.63, 5 Pb 3.71-3.91
Ba (0.1098, 0.1870, 0.7500)  4 Tl 3.58-3.63, 5 Pb 3.71-3.91
Ba (0.3902, 0.6870, 0.7500)  4 Tl 3.58-3.63, 5 Pb 3.71-3.91
Ba (0.8902, 0.8130, 0.2500)  4 Tl 3.58-3.63, 5 Pb 3.71-3.91
Tl (0.8473, 0.0879, 0.3828)  4 Pb 3.17-3.27
Tl (0.3473, 0.4121, 0.6172)  4 Pb 3.17-3.27
Tl (0.1527, 0.9121, 0.8828)  4 Pb 3.17-3.27
Tl (0.6527, 0.5879, 0.1172)  4 Pb 3.17-3.27
Tl (0.1527, 0.9121, 0.6172)  4 Pb 3.17-3.27
Tl (0.6527, 0.5879, 0.3828)  4 Pb 3.17-3.27
Tl (0.8473, 0.0879, 0.1172)  4 Pb 3.17-3.27
Tl (0.3473, 0.4121, 0.8828)  4 Pb 3.17-3.27
Pb (0.1210, 0.1790, 0.2500)  2 Tl 3.19
Pb (0.6210, 0.3210, 0.7500)  2 Tl 3.19
Pb (0.8790, 0.8210, 0.7500)  2 Tl 3.19
Pb (0.3790, 0.6790, 0.2500)  2 Tl 3.19
Pb (0.5786, 0.3068, 0.4692)  3 Tl 3.17-3.27
Pb (0.0786, 0.1932, 0.5308)  3 Tl 3.17-3.27
Pb (0.4214, 0.6932, 0.9692)  3 Tl 3.17-3.27
Pb (0.9214, 0.8068, 0.0308)  3 Tl 3.17-3.27
Pb (0.4214, 0.6932, 0.5308)  3 Tl 3.17-3.27
Pb (0.9214, 0.8068, 0.4692)  3 Tl 3.17-3.27
Pb (0.5786, 0.3068, 0.0308)  3 Tl 3.17-3.27
Pb (0.0786, 0.1932, 0.9692)  3 Tl 3.17-3.27

formation energy from the elements	-3.43	eV per formula unit
Fermi-level density of states	20.5	states/eV per cell



# 5
This record from the Alexandria database describes a relaxed structure of La4AsRuI2. The functional is PBE.

Lattice parameters (Å, degrees): 4.2726 7.7142 8.3340 105.86 90.00 90.00
With the nearest neighbours (Å) after each atom.
Fractional coordinates of all 8 atoms:
La (0.5000, 0.2547, 0.1872)  1 Ru 2.76, 2 As 3.03
La (0.5000, 0.7453, 0.8128)  1 Ru 2.76, 2 As 3.03
La (0.0000, 0.2831, 0.8093)  2 Ru 2.90, 1 As 3.03
La (0.0000, 0.7169, 0.1907)  2 Ru 2.90, 1 As 3.03
As (0.0000, 0.0000, 0.0000)  6 La 3.03
Ru (0.5000, 0.5000, 0.0000)  6 La 2.76-2.90
I (0.5000, 0.0000, 0.5000)  6 La 3.59-3.67
I (0.0000, 0.5000, 0.5000)  6 La 3.44-3.50

formation energy from raw total energies	-8.65	eV/f.u.
Fermi-level density of states	5.6	states/eV per cell



# 6
This record from the Alexandria database describes a relaxed structure of NbIn2Pd3. The functional is PBE.

Lattice parameters (Å, degrees): 3.0415 3.0415 11.3156 90.00 90.00 90.00
With the nearest neighbours (Å) after each atom.
Fractional coordinates of all 6 atoms:
Nb (0.5000, 0.5000, 0.5000)  8 Pd 2.85, 4 Nb 3.04
In (0.5000, 0.5000, 0.8331)  8 Pd 2.86-2.87, 4 In 3.04
In (0.5000, 0.5000, 0.1669)  8 Pd 2.86-2.87, 4 In 3.04
Pd (0.0000, 0.0000, 0.0000)  8 In 2.86, 4 Pd 3.04
Pd (0.0000, 0.0000, 0.6650)  4 Nb 2.85, 4 In 2.87, 4 Pd 3.04
Pd (0.0000, 0.0000, 0.3350)  4 Nb 2.85, 4 In 2.87, 4 Pd 3.04

formation energy from the elements	-2.31	eV per formula unit
Fermi-level density of states	3.2	states/eV per cell



# 7
This record from the Alexandria database describes a relaxed structure of KPd2F6. The functional is PBE.

Lattice parameters (Å, degrees): 5.7717 5.7717 5.3835 90.00 90.00 120.00
With the nearest neighbours (Å) after each atom.
Fractional coordinates of all 9 atoms:
K (0.0000, 0.0000, 0.0000)  6 F 2.66
Pd (0.3333, 0.6667, 0.5000)  6 F 2.13
Pd (0.6667, 0.3333, 0.5000)  6 F 2.13
F (0.6344, 0.0000, 0.2998)  2 Pd 2.13
F (0.3656, 0.3656, 0.2998)  2 Pd 2.13
F (0.0000, 0.6344, 0.2998)  2 Pd 2.13
F (0.6344, 0.6344, 0.7002)  2 Pd 2.13
F (0.0000, 0.3656, 0.7002)  2 Pd 2.13
F (0.3656, 0.0000, 0.7002)  2 Pd 2.13

formation energy from raw total energies	-14.17	eV/f.u.
Fermi-level density of states	4.3	states/eV per cell



# 8
This record from the Alexandria database describes a relaxed structure of HoMn2Fe. The functional is PBE.

Lattice parameters (Å, degrees): 2.9586 2.9586 9.1459 80.69 80.69 60.00
With the nearest neighbours (Å) after each atom.
Fractional coordinates of all 4 atoms:
Mn (0.7389, 0.7389, 0.7833)  3 Fe 2.59
Mn (0.2611, 0.2611, 0.2167)  3 Fe 2.59
Ho (0.5000, 0.5000, 0.5000)  6 Ho 2.96, 6 Mn 3.07
Fe (0.0000, 0.0000, 0.0000)  6 Mn 2.59

formation energy from the elements	2.45	eV per formula unit
Fermi-level density of states	6.2	states/eV per cell